DFT (GGA-PBE) results for a relaxed BaCd4Pt2 crystal.

Geometry as POSCAR:
```
BaCd4Pt2
1.0
8.462 0.000 0.000
0.000 8.462 0.000
0.000 0.000 4.493
Ba Cd Pt
2 8 4
Cartesian
0.000 0.000 0.000
4.231 4.231 2.247
0.757 2.892 2.247
1.339 4.988 0.000
2.892 0.757 2.247
3.474 7.123 0.000
4.988 1.339 0.000
5.570 7.706 2.247
7.123 3.474 0.000
7.706 5.570 2.247
1.861 6.601 2.247
2.370 2.370 0.000
6.092 6.092 0.000
6.601 1.861 2.247
```

The value obtained for the total energy is -2.99 eV/atom. The volume is 23.0 Å³ per atom.